Density functional theory data (PBE-GGA) for a relaxed Ho5SiBi4 crystal.

Cell: 7.6052 7.6052 7.6052 Å, 99.62 99.62 131.74°
Fractional coordinates of all 10 atoms:
1 Ho 0.0000 0.0000 0.0000
2 Ho 0.2208 0.5974 0.8182
3 Ho 0.4026 0.2208 0.6234
4 Ho 0.5974 0.7792 0.3766
5 Ho 0.7792 0.4026 0.1818
6 Si 0.5000 0.5000 0.0000
7 Bi 0.0919 0.3049 0.3968
8 Bi 0.3049 0.9081 0.2130
9 Bi 0.6951 0.0919 0.7870
10 Bi 0.9081 0.6951 0.6032

## Properties
total magnetization	0.000	μB per cell
SG	I4/m
total energy	-5.14	eV/atom
formation energy without anion corrections	-0.75	eV/atom
Fermi-level density of states	3.41	states/eV/cell

=====

Density functional theory data (PBE-GGA) for a relaxed HoSiBi crystal.

Cell: 8.4572 8.4572 4.0738 Å, 90.00 90.00 149.23°
Fractional coordinates of all 6 atoms:
1 Ho 0.0914 0.9086 0.7500
2 Ho 0.9086 0.0914 0.2500
3 Si 0.4555 0.5445 0.7500
4 Si 0.5445 0.4555 0.2500
5 Bi 0.2539 0.7461 0.2500
6 Bi 0.7461 0.2539 0.7500

## Properties
total magnetization	0.000	μB per cell
SG	Cmcm
total energy	-5.09	eV/atom
formation energy without anion corrections	-0.46	eV/atom
Fermi-level density of states	2.24	states/eV/cell

=====

Density functional theory data (PBE-GGA) for a relaxed Ho5Si2Bi crystal.

Cell: 8.7042 8.7042 8.7042 Å, 126.36 126.36 79.30°
Fractional coordinates of all 16 atoms:
1 Ho 0.0000 0.0000 0.0000
2 Ho 0.0152 0.5152 0.8061
3 Ho 0.2090 0.0152 0.5000
4 Ho 0.2910 0.7910 0.8061
5 Ho 0.4848 0.2910 0.5000
6 Ho 0.5000 0.5000 0.0000
7 Ho 0.5152 0.7090 0.5000
8 Ho 0.7090 0.2090 0.1939
9 Ho 0.7910 0.9848 0.5000
10 Ho 0.9848 0.4848 0.1939
11 Si 0.1495 0.3505 0.5000
12 Si 0.3505 0.8505 0.2010
13 Si 0.6495 0.1495 0.7990
14 Si 0.8505 0.6495 0.5000
15 Bi 0.2500 0.2500 0.0000
16 Bi 0.7500 0.7500 0.0000

## Properties
total magnetization	0.014	μB per cell
SG	I4/mcm
total energy	-5.37	eV/atom
formation energy without anion corrections	-0.67	eV/atom
Fermi-level density of states	19.30	states/eV/cell

=====

Density functional theory data (PBE-GGA) for a relaxed Ho4SiBi crystal.

Cell: 8.4215 8.4215 7.4734 Å, 103.06 103.06 42.97°
Fractional coordinates of all 12 atoms:
1 Ho 0.0192 0.8173 0.5578
2 Ho 0.1827 0.9808 0.9422
3 Ho 0.2255 0.4344 0.8593
4 Ho 0.4344 0.2255 0.3593
5 Ho 0.5656 0.7745 0.6407
6 Ho 0.7745 0.5656 0.1407
7 Ho 0.8173 0.0192 0.0578
8 Ho 0.9808 0.1827 0.4422
9 Si 0.0000 0.5000 0.5000
10 Si 0.5000 0.0000 0.0000
11 Bi 0.3713 0.6287 0.2500
12 Bi 0.6287 0.3713 0.7500

## Properties
total magnetization	0.000	μB per cell
SG	C2/c
total energy	-4.96	eV/atom
formation energy without anion corrections	-0.36	eV/atom
Fermi-level density of states	14.46	states/eV/cell

=====

Density functional theory data (PBE-GGA) for a relaxed Ho6Si2Bi crystal.

Cell: 8.5007 8.5007 8.5007 Å, 112.43 111.50 104.59°
Fractional coordinates of all 18 atoms:
1 Ho 0.0318 0.2429 0.7889
2 Ho 0.1875 0.2797 0.4672
3 Ho 0.1875 0.7203 0.9078
4 Ho 0.3196 0.0205 0.7009
5 Ho 0.3196 0.6187 0.2991
6 Ho 0.4540 0.2429 0.2111
7 Ho 0.5460 0.7571 0.7889
8 Ho 0.6804 0.3813 0.7009
9 Ho 0.6804 0.9795 0.2991
10 Ho 0.8125 0.2797 0.0922
11 Ho 0.8125 0.7203 0.5328
12 Ho 0.9682 0.7571 0.2111
13 Si 0.1153 0.6153 0.5000
14 Si 0.3712 0.0000 0.3712
15 Si 0.6288 0.0000 0.6288
16 Si 0.8847 0.3847 0.5000
17 Bi 0.0000 0.0000 0.0000
18 Bi 0.5000 0.5000 0.0000

## Properties
total magnetization	0.001	μB per cell
SG	Immm
total energy	-5.25	eV/atom
formation energy without anion corrections	-0.57	eV/atom
Fermi-level density of states	14.79	states/eV/cell

=====

Density functional theory data (PBE-GGA) for a relaxed Ho5SiBi2 crystal.

Cell: 8.1255 8.1255 13.3672 Å, 90.00 90.00 139.05°
Fractional coordinates of all 16 atoms:
1 Ho 0.0753 0.9247 0.6161
2 Ho 0.0753 0.9247 0.8839
3 Ho 0.2926 0.7074 0.2500
4 Ho 0.3029 0.6971 0.5559
5 Ho 0.3029 0.6971 0.9441
6 Ho 0.6971 0.3029 0.0559
7 Ho 0.6971 0.3029 0.4441
8 Ho 0.7074 0.2926 0.7500
9 Ho 0.9247 0.0753 0.1161
10 Ho 0.9247 0.0753 0.3839
11 Si 0.2113 0.7887 0.7500
12 Si 0.7887 0.2113 0.2500
13 Bi 0.1307 0.8693 0.1033
14 Bi 0.1307 0.8693 0.3967
15 Bi 0.8693 0.1307 0.6033
16 Bi 0.8693 0.1307 0.8967

## Properties
total magnetization	1.403	μB per cell
SG	Cmcm
total energy	-4.73	eV/atom
formation energy without anion corrections	-0.22	eV/atom
Fermi-level density of states	19.86	states/eV/cell

=====

Density functional theory data (PBE-GGA) for a relaxed Ho6SiBi2 crystal.

Cell: 6.3276 8.1236 11.9323 Å, 90.00 121.34 90.00°
Fractional coordinates of all 18 atoms:
1 Ho 0.0890 0.1888 0.4566
2 Ho 0.0890 0.3112 0.9566
3 Ho 0.3256 0.6752 0.4573
4 Ho 0.3256 0.8248 0.9573
5 Ho 0.3665 0.0313 0.2383
6 Ho 0.3665 0.4687 0.7383
7 Ho 0.6335 0.5313 0.2617
8 Ho 0.6335 0.9687 0.7617
9 Ho 0.6744 0.1752 0.0427
10 Ho 0.6744 0.3248 0.5427
11 Ho 0.9110 0.6888 0.0434
12 Ho 0.9110 0.8112 0.5434
13 Si 0.5000 0.0000 0.5000
14 Si 0.5000 0.5000 0.0000
15 Bi 0.1495 0.1125 0.7469
16 Bi 0.1495 0.3875 0.2469
17 Bi 0.8505 0.6125 0.7531
18 Bi 0.8505 0.8875 0.2531

## Properties
total magnetization	0.042	μB per cell
SG	P2_1/c
total energy	-5.02	eV/atom
formation energy without anion corrections	-0.50	eV/atom
Fermi-level density of states	19.35	states/eV/cell

=====

Density functional theory data (PBE-GGA) for a relaxed Ho2SiBi crystal.

Cell: 7.8827 7.8827 7.8827 Å, 30.31 30.31 30.31°
Fractional coordinates of all 4 atoms:
1 Ho 0.2380 0.2380 0.2380
2 Ho 0.7620 0.7620 0.7620
3 Si 0.5000 0.5000 0.5000
4 Bi 0.0000 0.0000 0.0000

## Properties
total magnetization	0.000	μB per cell
SG	R-3m
total energy	-5.27	eV/atom
formation energy without anion corrections	-0.66	eV/atom
Fermi-level density of states	1.34	states/eV/cell

=====

Density functional theory data (PBE-GGA) for a relaxed Ho4SiBiTe2 crystal.

Cell: 7.5078 4.3003 7.5274 Å, 90.00 109.21 90.00°
Fractional coordinates of all 8 atoms:
1 Ho 0.2237 0.0000 0.2251
2 Ho 0.2324 0.5000 0.7643
3 Ho 0.7676 0.5000 0.2357
4 Ho 0.7763 0.0000 0.7749
5 Si 0.0000 0.5000 0.0000
6 Bi 0.0000 0.0000 0.5000
7 Te 0.5000 0.0000 0.0000
8 Te 0.5000 0.5000 0.5000

## Properties
total magnetization	0.000	μB per cell
SG	P2/m
total energy	-5.33	eV/atom
formation energy without anion corrections	-1.09	eV/atom
Fermi-level density of states	1.75	states/eV/cell

=====

Density functional theory data (PBE-GGA) for a relaxed Sm3HoBi3 crystal.

Cell: 8.3137 8.3137 8.3137 Å, 67.48 67.48 67.48°
Fractional coordinates of all 14 atoms:
1 Sm 0.0865 0.8245 0.3406
2 Sm 0.1755 0.6594 0.9135
3 Sm 0.3406 0.0865 0.8245
4 Sm 0.6594 0.9135 0.1755
5 Sm 0.8245 0.3406 0.0865
6 Sm 0.9135 0.1755 0.6594
7 Ho 0.3329 0.3329 0.3329
8 Ho 0.6671 0.6671 0.6671
9 Bi 0.0793 0.4746 0.6920
10 Bi 0.3080 0.9207 0.5254
11 Bi 0.4746 0.6920 0.0793
12 Bi 0.5254 0.3080 0.9207
13 Bi 0.6920 0.0793 0.4746
14 Bi 0.9207 0.5254 0.3080

## Properties
DFT formation energy	-692.2	meV/atom
total magnetization	0.000	μB per cell
SG	R-3
total energy	-5.03	eV/atom
Fermi-level density of states	10.67	states/eV/cell

=====

Density functional theory data (PBE-GGA) for a relaxed SmHoBi2 crystal.

Cell: 4.4973 4.4973 14.9328 Å, 90.00 90.00 120.00°
Fractional coordinates of all 8 atoms:
1 Sm 0.0000 0.0000 0.0000
2 Sm 0.0000 0.0000 0.5000
3 Ho 0.3333 0.6667 0.2500
4 Ho 0.6667 0.3333 0.7500
5 Bi 0.3333 0.6667 0.6255
6 Bi 0.3333 0.6667 0.8745
7 Bi 0.6667 0.3333 0.1255
8 Bi 0.6667 0.3333 0.3745

## Properties
DFT formation energy	-804.4	meV/atom
total magnetization	0.000	μB per cell
SG	P6_3/mmc
total energy	-5.07	eV/atom
Fermi-level density of states	1.71	states/eV/cell

=====

Density functional theory data (PBE-GGA) for a relaxed Sm5Ho2Bi5 crystal.

Cell: 7.7535 7.7535 12.9495 Å, 110.90 110.90 33.74°
Fractional coordinates of all 12 atoms:
1 Sm 0.0000 0.0000 0.0000
2 Sm 0.1624 0.1624 0.5333
3 Sm 0.2179 0.2179 0.8397
4 Sm 0.7821 0.7821 0.1603
5 Sm 0.8376 0.8376 0.4667
6 Ho 0.4498 0.4498 0.7092
7 Ho 0.5502 0.5502 0.2908
8 Bi 0.1923 0.1923 0.2833
9 Bi 0.3831 0.3831 0.0709
10 Bi 0.5000 0.5000 0.5000
11 Bi 0.6169 0.6169 0.9291
12 Bi 0.8077 0.8077 0.7167

## Properties
DFT formation energy	-643.9	meV/atom
total magnetization	0.000	μB per cell
SG	C2/m
total energy	-4.99	eV/atom
Fermi-level density of states	8.62	states/eV/cell